Here is a relaxed structure of Al2CdSi from Alexandria. Energies are from PBE.

E above lowest polymorph   0 meV per atom
VASP energy   -3.280 eV per atom
Magnetic moment   0.0 μB per cell
Formation energy from raw total energies   67.9 kJ/mol of formula units

a b c (Å): 2.9545 2.9545 8.1077
angles (deg): 90.00 90.00 90.00
Positions (direct):
1 Al 0.0000 0.0000 0.2211
2 Al 0.0000 0.0000 0.7789
3 Cd 0.5000 0.5000 0.5000
4 Si 0.5000 0.5000 0.0000